Record 1
The following is a PBE calculation of a relaxed structure of Dy12Y2In, from Alexandria via LeMat-Bulk.

Unit cell a=7.099 b=11.232 c=23.932 alpha=90.00 beta=98.36 gamma=90.00
Space group C2/m (No. 12)
Asymmetric unit:
Dy 0.004 0.000 0.400
Dy 0.017 0.500 0.648
Dy 0.040 0.256 0.826
Dy 0.069 0.217 0.307
Dy 0.076 0.500 0.920
Dy 0.103 0.000 0.929
Dy 0.153 0.239 0.057
Dy 0.157 0.270 0.564
Y 0.225 0.000 0.214
Y 0.245 0.500 0.235
In 0.193 0.500 0.484

Output
- E_form (meV per atom) = 47



Record 2
The following is a PBE calculation of a relaxed structure of Tb2HoGe2, from Alexandria via LeMat-Bulk.

Unit cell a=12.260 b=4.373 c=10.495 alpha=90.00 beta=116.87 gamma=90.00
Space group C2/m (No. 12)
Asymmetric unit:
Tb 0.017 0.000 0.187
Tb 0.181 0.000 0.586
Ho 0.218 0.500 0.858
Ge 0.028 0.500 0.392
Ge 0.118 0.500 0.065

Output
- energy above the most stable polymorph in this dataset (meV/atom) = 99.8
- E_form (meV per atom) = -690



Record 3
The following is a PBE calculation of a relaxed structure of Pr2PaO6, from Alexandria via LeMat-Bulk.

Unit cell a=5.300 b=5.300 c=11.040 alpha=90.00 beta=90.00 gamma=90.00
Space group P4_2/mnm (No. 136)
Asymmetric unit:
Pr 0.000 0.000 0.166
Pa 0.000 0.000 0.500
O 0.183 0.183 0.348
O 0.208 0.208 0.000

Output
- energy above the most stable polymorph in this dataset (meV/atom) = 117.4
- formation energy (no corrections) (eV/atom) = -3.17



Record 4
The following is a PBE calculation of a relaxed structure of Tc2HgAs, from Alexandria via LeMat-Bulk.

Unit cell a=5.740 b=8.763 c=2.978 alpha=90.00 beta=115.92 gamma=90.00
Space group C2/m (No. 12)
Asymmetric unit:
Tc 0.250 0.250 0.000
Hg 0.000 0.000 0.500
As 0.000 0.500 0.500

Output
- energy above the most stable polymorph in this dataset (meV/atom) = 536.0
- E_form (meV per atom) = 667



Record 5
The following is a PBE calculation of a relaxed structure of AsPtAu2O, from Alexandria via LeMat-Bulk.

Unit cell a=4.877 b=4.877 c=4.653 alpha=90.00 beta=90.00 gamma=90.00
Space group P4/mmm (No. 123)
Asymmetric unit:
As 0.000 0.000 0.000
Pt 0.000 0.000 0.500
Au 0.000 0.500 0.000
O 0.500 0.500 0.500

Output
- formation energy (no corrections) (eV/atom) = 1.04



Record 6
The following is a PBE calculation of a relaxed structure of TeP2Ir, from Alexandria via LeMat-Bulk.

Unit cell a=3.497 b=3.609 c=13.431 alpha=90.00 beta=90.00 gamma=90.00
Space group Imm2 (No. 44)
Asymmetric unit:
Te 0.000 0.000 0.000
P 0.000 0.000 0.713
P 0.000 0.500 0.320
Ir 0.000 0.500 0.847

Output
- formation energy (no corrections) (eV/atom) = 0.15